(1)
Material: Pa2Mn2AlFe5
Method: DFT, PBE
State: relaxed

Cell lengths 3.9562, 8.5105, 8.5105 Å; angles 90.00, 90.00, 90.00 degrees
Sites, in units of the cell vectors:
Fe (0.5000, 0.4234, 0.3114)
Fe (0.5000, 0.1886, 0.0766)
Fe (0.5000, 0.8114, 0.9234)
Fe (0.5000, 0.3114, 0.5766)
Fe (0.5000, 0.5000, 0.0000)
Fe (0.5000, 0.6886, 0.4234)
Fe (0.5000, 0.0766, 0.8114)
Fe (0.5000, 0.9234, 0.1886)
Fe (0.5000, 0.5766, 0.6886)
Fe (0.5000, 0.0000, 0.5000)
Pa (0.0000, 0.1525, 0.3475)
Pa (0.0000, 0.3475, 0.8475)
Pa (0.0000, 0.6525, 0.1525)
Pa (0.0000, 0.8475, 0.6525)
Al (0.0000, 0.5000, 0.5000)
Al (0.0000, 0.0000, 0.0000)
Mn (0.0000, 0.8417, 0.3417)
Mn (0.0000, 0.6583, 0.8417)
Mn (0.0000, 0.1583, 0.6583)
Mn (0.0000, 0.3417, 0.1583)

DOS at the Fermi energy = 28.472 states/eV/cell
formation enthalpy at 0 K = -0.0629 eV/atom
total magnetic moment = 15.2 Bohr magnetons per cell

=====

(2)
Material: SrTl2Ir
Method: DFT, PBE
State: relaxed

Cell lengths 5.4572, 5.4572, 5.4572 Å; angles 126.74, 126.74, 78.68 degrees
Sites, in units of the cell vectors:
Sr (0.7500, 0.2500, 0.5000)
Tl (0.2500, 0.7500, 0.5000)
Tl (0.0000, 0.0000, 0.0000)
Ir (0.5000, 0.5000, 0.0000)

DOS at the Fermi energy = 2.029 states/eV/cell
formation enthalpy at 0 K = 0.1781 eV/atom
total magnetic moment = 0.0 Bohr magnetons per cell

=====

(3)
Material: SiNi5Pt4
Method: DFT, PBE
State: relaxed

Cell lengths 2.7052, 8.6229, 6.9221 Å; angles 115.08, 101.27, 90.00 degrees
Sites, in units of the cell vectors:
Pt (0.9606, 0.2058, 0.9212)
Pt (0.0394, 0.7942, 0.0788)
Pt (0.6570, 0.4041, 0.3140)
Pt (0.3430, 0.5959, 0.6860)
Ni (0.8243, 0.3248, 0.6487)
Ni (0.1548, 0.1377, 0.3097)
Ni (0.8452, 0.8623, 0.6903)
Ni (0.5000, 0.5000, 0.0000)
Ni (0.1757, 0.6752, 0.3513)
Si (0.5000, 0.0000, 0.0000)

formation energy without anion corrections = -0.005 eV/atom
DOS at the Fermi energy = 13.966 states/eV/cell
total magnetic moment = 2.8 Bohr magnetons per cell

=====

Across the entries above, calculated volume takes the values 14.327 25.255 14.281 Å³ per atom, respectively.